Density functional theory data (PBE) for PrNiSnHg after structural relaxation.

Computed properties:
Energy of formation: -5.9 kcal/mol of atoms
Crystal system: cubic
Space-group type: No. 216

Cell lengths 5.032, 5.032, 5.032 Å; angles 60.00, 60.00, 60.00 degrees
Fractional coordinates of all 4 atoms:
Pr 0.750 0.750 0.750
Sn 0.250 0.250 0.250
Ni 0.500 0.500 0.500
Hg 0.000 0.000 0.000

***

Density functional theory data (PBE) for Pm2Co3P4Os after structural relaxation.

Computed properties:
Energy of formation: -21.7 kcal/mol of atoms
Crystal system: tetragonal
Space-group type: No. 115

Cell lengths 4.008, 4.008, 9.267 Å; angles 90.00, 90.00, 90.00 degrees
Fractional coordinates of all 10 atoms:
P 0.000 0.000 0.000
Os 0.500 0.500 0.500
Pm 0.000 0.500 0.764
P 0.500 0.500 0.000
P 0.000 0.500 0.362
P 0.500 0.000 0.638
Co 0.000 0.500 0.110
Pm 0.500 0.000 0.236
Co 0.000 0.000 0.500
Co 0.500 0.000 0.890

***

Density functional theory data (PBE) for KReH2 after structural relaxation.

Computed properties:
Polymorph energy (0 for the lowest one): 0.0 kJ per mole of atoms
Crystal system: tetragonal
Space-group type: No. 122

Cell lengths 5.348, 5.348, 5.257 Å; angles 59.43, 59.43, 90.00 degrees
Fractional coordinates of all 8 atoms:
H 0.021 0.625 0.250
H 0.875 0.979 0.750
K 0.250 0.750 0.500
K 0.500 0.500 0.000
H 0.729 0.125 0.250
Re 0.000 0.000 0.000
H 0.375 0.271 0.750
Re 0.750 0.250 0.500

***

Density functional theory data (PBE) for Ac2Si3B after structural relaxation.

Computed properties:
Uncorrected energy: -5.63 eV/atom
Crystal system: orthorhombic
Space-group type: No. 69

Cell lengths 6.189, 6.189, 7.805 Å; angles 108.52, 108.52, 101.46 degrees
Fractional coordinates of all 12 atoms:
B 0.333 0.333 0.666
Si 0.182 0.182 0.819
Si 0.179 0.179 0.358
Si 0.821 0.821 0.642
Ac 0.250 0.750 0.500
Si 0.818 0.818 0.181
Ac 0.750 0.250 0.500
Si 0.362 0.362 0.181
Si 0.638 0.638 0.819
Ac 0.754 0.246 0.000
Ac 0.246 0.754 0.000
B 0.667 0.667 0.334